First-principles (PBE-GGA) data for CsZnHg2Pt after structural relaxation, as listed in the Alexandria database.

Structure (POSCAR):
```
CsZnHg2Pt
1.0
-3.264 4.305 -0.758
-4.197 -2.822 2.047
1.132 1.674 4.629
Hg Pt Cs Zn
2 1 1 1
Cartesian
-1.632 2.153 -0.379 Hg
-2.098 -1.411 1.023 Hg
0.000 0.000 0.000 Pt
-3.164 1.579 2.959 Cs
0.566 0.837 2.315 Zn
```

Output
Total magnetic moment: 0.00 μB per cell
DOS at the Fermi energy: 1.14 states/eV/f.u.
ΔE_f: -1.412 eV per formula unit
Total energy: -2.037 eV per atom

---

First-principles (PBE-GGA) data for MnFeNiAs after structural relaxation, as listed in the Alexandria database.

Structure (POSCAR):
```
MnFeNiAs
1.0
4.117 0.000 0.000
2.058 3.565 0.000
2.058 1.188 3.361
Fe Mn As Ni
1 1 1 1
Cartesian
6.175 3.565 2.521 Fe
0.000 0.000 0.000 Mn
4.117 2.377 1.681 As
2.058 1.188 0.840 Ni
```

Output
Total magnetic moment: 5.60 μB per cell
DOS at the Fermi energy: 2.12 states/eV/f.u.
ΔE_f: -0.133 eV per formula unit
Total energy: -7.049 eV per atom

---

First-principles (PBE-GGA) data for SiBr2F after structural relaxation, as listed in the Alexandria database.

Structure (POSCAR):
```
SiBr2F
1.0
4.561 -0.001 0.058
-0.010 5.077 0.191
-0.350 -1.806 6.180
Br F Si
2 1 1
Cartesian
2.987 0.494 0.342 Br
0.667 3.498 2.648 Br
2.945 0.489 3.434 F
2.961 -0.642 2.271 Si
```

Output
Uncorrected formation energy: -1208 meV/atom
Total magnetic moment: 0.00 μB per cell
DOS at the Fermi energy: 1.29 states/eV/f.u.
E above lowest polymorph: 246 meV per atom
Total energy: -3.868 eV per atom

---

First-principles (PBE-GGA) data for Ba6Cd2RhAu after structural relaxation, as listed in the Alexandria database.

Structure (POSCAR):
```
Ba6Cd2RhAu
1.0
-3.515 4.453 -5.794
-6.998 -5.707 -0.141
-5.634 6.702 8.343
Cd Ba Rh Au
4 12 2 2
Cartesian
-5.754 1.434 -0.584 Cd
-7.839 -3.212 1.677 Cd
-8.309 8.659 0.732 Cd
-10.393 4.013 2.992 Cd
-8.550 0.489 1.665 Ba
-8.019 2.917 5.564 Ba
-6.143 -2.068 -1.460 Ba
-2.273 -0.008 -0.516 Ba
-12.326 1.095 3.850 Ba
-7.597 4.958 0.744 Ba
-8.128 2.530 -3.155 Ba
-10.004 7.515 3.868 Ba
-11.777 2.645 -0.206 Ba
-4.370 2.802 2.614 Ba
-13.874 5.455 2.924 Ba
-3.821 4.353 -1.442 Ba
-3.499 -2.854 -0.071 Rh
-4.575 5.577 1.275 Rh
-6.316 0.497 4.101 Au
-1.757 2.227 -2.897 Au
```

Output
Total magnetic moment: 0.00 μB per cell
DOS at the Fermi energy: 6.48 states/eV/f.u.
ΔE_f: -3.277 eV per formula unit
Total energy: -2.727 eV per atom

---

First-principles (PBE-GGA) data for Na8SnAu2 after structural relaxation, as listed in the Alexandria database.

Structure (POSCAR):
```
Na8SnAu2
1.0
-0.620 -2.081 -5.124
1.027 -6.895 3.982
-7.382 3.000 0.980
Na Au Sn
8 2 1
Cartesian
-4.206 -3.125 1.481 Na
-4.714 -6.310 -0.316 Na
-1.292 -5.572 0.703 Na
-0.192 -2.101 0.893 Na
-6.783 -3.875 -1.055 Na
-2.261 0.334 0.154 Na
-5.683 -0.405 -0.864 Na
-2.769 -2.851 -1.642 Na
-4.688 -0.170 1.942 Au
-1.667 -3.725 3.020 Au
-0.310 -1.041 -2.562 Sn
```

Output
Total magnetic moment: 0.00 μB per cell
DOS at the Fermi energy: 4.40 states/eV/f.u.
ΔE_f: -1.951 eV per formula unit
E above lowest polymorph: 14 meV per atom
Total energy: -2.096 eV per atom

---

First-principles (PBE-GGA) data for CeScAlPd after structural relaxation, as listed in the Alexandria database.

Structure (POSCAR):
```
CeScAlPd
1.0
-0.531 -3.799 3.165
3.097 -3.883 -0.235
3.355 -0.726 3.598
Pd Ce Al Sc
1 1 1 1
Cartesian
4.441 -6.306 4.896 Pd
2.960 -4.204 3.264 Ce
1.480 -2.102 1.632 Al
0.000 0.000 0.000 Sc
```

Output
Total magnetic moment: 0.54 μB per cell
DOS at the Fermi energy: 6.46 states/eV/f.u.
ΔE_f: -1.804 eV per formula unit
Total energy: -5.751 eV per atom

---

First-principles (PBE-GGA) data for PrAl2Ag4 after structural relaxation, as listed in the Alexandria database.

Structure (POSCAR):
```
PrAl2Ag4
1.0
4.730 0.000 2.731
2.365 5.000 1.365
-0.135 0.000 5.695
Ag Al Pr
4 2 1
Cartesian
4.730 3.031 2.731 Ag
3.214 0.000 5.356 Ag
1.381 0.000 3.070 Ag
2.365 1.968 1.365 Ag
4.663 2.500 5.578 Al
2.298 2.500 4.213 Al
0.000 0.000 0.000 Pr
```

Output
Total magnetic moment: 0.00 μB per cell
DOS at the Fermi energy: 3.62 states/eV/f.u.
ΔE_f: -1.640 eV per formula unit
Total energy: -3.616 eV per atom

---

First-principles (PBE-GGA) data for Th2Ni12Ge3Au after structural relaxation, as listed in the Alexandria database.

Structure (POSCAR):
```
Th2Ni12Ge3Au
1.0
-5.917 -0.629 2.474
-1.983 -4.390 -4.280
1.416 -5.106 3.668
Ni Ge Au Th
12 3 1 2
Cartesian
-4.221 -2.285 1.600 Ni
-4.651 -3.613 -0.697 Ni
-5.490 -4.278 1.963 Ni
-2.956 -3.970 3.267 Ni
-2.263 -7.839 0.262 Ni
-1.833 -6.511 2.558 Ni
-3.528 -6.154 -1.406 Ni
-0.554 -4.524 2.197 Ni
-0.994 -5.846 -0.101 Ni
-5.930 -5.600 -0.335 Ni
-2.254 -4.166 -1.778 Ni
-4.230 -5.958 3.640 Ni
-0.992 -2.195 -2.140 Ge
-2.958 -0.314 1.237 Ge
0.708 -2.553 1.834 Ge
0.000 0.000 0.000 Au
-4.288 -6.695 1.231 Th
-2.196 -3.429 0.630 Th
```

Output
Total magnetic moment: 0.00 μB per cell
DOS at the Fermi energy: 15.43 states/eV/f.u.
ΔE_f: -1.587 eV per formula unit
Total energy: -5.718 eV per atom